[1]
The following is a DFT calculation (PBE) of an optimized crystal structure of LiLu2Fe.

Geometry as POSCAR:
```
LiLu2Fe
1.0
6.677 0.000 0.000
0.000 6.677 0.000
0.000 0.000 6.677
Li Lu Fe
4 8 4
direct
0.000 0.000 0.000
0.000 0.500 0.500
0.500 0.000 0.500
0.500 0.500 0.000
0.000 0.000 0.500
0.000 0.500 0.000
0.250 0.250 0.750
0.250 0.750 0.250
0.500 0.000 0.000
0.500 0.500 0.500
0.750 0.250 0.250
0.750 0.750 0.750
0.250 0.250 0.250
0.250 0.750 0.750
0.750 0.250 0.750
0.750 0.750 0.250
```

Calculated total energy = -4.381 eV/atom
SG = F-43m (216)


[2]
The following is a DFT calculation (PBE) of an optimized crystal structure of LiLuFePb.

Geometry as POSCAR:
```
LiLuFePb
1.0
6.647 0.000 0.000
0.000 6.647 0.000
0.000 0.000 6.647
Li Lu Fe Pb
4 4 4 4
direct
0.000 0.000 0.000
0.000 0.500 0.500
0.500 0.000 0.500
0.500 0.500 0.000
0.250 0.250 0.750
0.250 0.750 0.250
0.750 0.250 0.250
0.750 0.750 0.750
0.000 0.000 0.500
0.000 0.500 0.000
0.500 0.000 0.000
0.500 0.500 0.500
0.250 0.250 0.250
0.250 0.750 0.750
0.750 0.250 0.750
0.750 0.750 0.250
```

Energy relative to the lowest polymorph listed for this composition = 0.00 eV/f.u.
Calculated total energy = -4.647 eV/atom
SG = F-43m (216)


[3]
The following is a DFT calculation (PBE) of an optimized crystal structure of LiLuFePb.

Geometry as POSCAR:
```
LiLuFePb
1.0
6.774 0.000 0.000
0.000 6.774 0.000
0.000 0.000 6.774
Li Lu Fe Pb
4 4 4 4
direct
0.000 0.000 0.000
0.000 0.500 0.500
0.500 0.000 0.500
0.500 0.500 0.000
0.250 0.250 0.250
0.250 0.750 0.750
0.750 0.250 0.750
0.750 0.750 0.250
0.250 0.250 0.750
0.250 0.750 0.250
0.750 0.250 0.250
0.750 0.750 0.750
0.000 0.000 0.500
0.000 0.500 0.000
0.500 0.000 0.000
0.500 0.500 0.500
```

Energy relative to the lowest polymorph listed for this composition = 0.59 eV/f.u.
Calculated total energy = -4.499 eV/atom
SG = F-43m (216)


Number 1: mass density 9211 kg/m³. Number 2: mass density 10064 kg/m³. Number 3: mass density 9510 kg/m³.